1.
12
Lattice="-5.931 -1.965 -4.283 -0.463 -0.414 7.550 -0.323 7.724 -0.863" Properties=species:S:1:pos:R:3 comment="PBE Ce3DyHo2Te6, optimized geometry" raw_formation_energy_mev_per_atom=-1326 dos_ef_per_ev_fu=22.53 energy_ry_per_atom=-0.406 m_tot_mub_per_atom=0.297 spacegroup="No. 12" pbc="T T T"
Ce -1.532 3.191 5.154
Ce -5.185 2.155 -2.750
Ce -3.359 2.673 1.202
Dy 0.000 0.000 0.000
Ho -2.285 -0.931 3.606
Ho -4.109 -1.448 -0.340
Te -5.979 3.836 -0.174
Te -4.838 0.060 2.228
Te -0.739 1.509 2.578
Te -4.150 4.354 3.782
Te -1.879 5.285 0.176
Te -2.567 0.991 -1.378

***

2.
4
Lattice="3.541 0.000 0.000 -1.770 3.067 0.000 -1.775 -1.022 11.357" Properties=species:S:1:pos:R:3 comment="PBE CeDyHoTh, optimized geometry" e_form_ev_per_atom=0.026 e_above_lowest_polymorph_ev_per_atom=0.000 dos_ef_per_ev_fu=7.87 energy_ry_per_atom=-0.412 m_tot_mub_per_atom=0.011 spacegroup="No. 160" pbc="T T T"
Ce -1.442 0.799 9.882
Dy 2.104 0.797 4.154
Ho 0.333 -0.223 7.038
Th -1.435 2.842 1.294

***

3.
12
Lattice="-1.263 -4.986 -3.296 -0.361 -0.196 6.095 -10.515 4.895 -1.488" Properties=species:S:1:pos:R:3 comment="PBE Ce2Dy6Ho3Th, optimized geometry" e_form_ev_per_atom=0.043 dos_ef_per_ev_fu=21.94 energy_ry_per_atom=-0.368 m_tot_mub_per_atom=0.100 spacegroup="No. 12" pbc="T T T"
Ce -0.662 -1.793 2.965
Ce -0.962 -3.390 -0.166
Dy -9.279 -1.004 -0.578
Dy -3.823 -2.678 1.733
Dy -2.860 0.717 1.890
Dy -8.979 0.588 2.543
Dy -8.316 2.391 -0.422
Dy -3.160 -0.875 -1.232
Ho -5.769 1.453 3.785
Ho -6.370 -1.740 -2.473
Ho -6.070 -0.144 0.656
Th 0.000 0.000 0.000

***

4.
12
Lattice="6.103 0.000 0.001 -3.051 5.286 0.001 -1.021 -1.768 11.483" Properties=species:S:1:pos:R:3 comment="PBE Ce2Dy3Ho6Th, optimized geometry" e_form_ev_per_atom=0.041 dos_ef_per_ev_fu=21.52 energy_ry_per_atom=-0.368 m_tot_mub_per_atom=0.100 spacegroup="No. 12" pbc="T T T"
Ce 0.000 3.524 0.001
Ce 3.052 1.761 0.001
Dy -2.035 3.521 5.743
Dy 4.066 -0.003 5.743
Dy 1.016 1.759 5.743
Ho 3.045 1.760 8.647
Ho 2.039 3.531 2.839
Ho -1.013 1.758 2.839
Ho 0.003 3.517 8.647
Ho -0.007 -0.013 8.647
Ho 2.029 0.001 2.839
Th 0.000 0.000 0.000

***

5.
4
Lattice="5.639 0.000 0.000 2.820 4.884 0.000 2.820 1.628 4.605" Properties=species:S:1:pos:R:3 comment="PBE CeDyHoTh, optimized geometry" e_form_ev_per_atom=0.226 e_above_lowest_polymorph_ev_per_atom=0.201 dos_ef_per_ev_fu=11.81 energy_ry_per_atom=-0.397 m_tot_mub_per_atom=0.672 spacegroup="No. 216" pbc="T T T"
Ce 2.820 1.628 1.151
Ho 8.459 4.884 3.453
Th 5.639 3.256 2.302
Dy 0.000 0.000 0.000

***

6.
8
Lattice="5.437 0.000 0.000 2.719 4.709 0.000 2.719 1.570 8.892" Properties=species:S:1:pos:R:3 comment="PBE Ce2DyHoTl4, optimized geometry" e_form_ev_per_atom=-0.276 dos_ef_per_ev_fu=18.12 energy_ry_per_atom=-0.301 m_tot_mub_per_atom=0.270 spacegroup="No. 166" pbc="T T T"
Ce 8.156 4.709 6.675
Ce 2.719 1.570 2.216
Dy 5.437 3.139 4.446
Ho 0.000 0.000 0.000
Tl 5.437 3.139 7.781
Tl 8.156 4.709 3.334
Tl 2.719 1.570 5.558
Tl 5.437 3.139 1.110

***

7.
12
Lattice="6.108 0.000 0.018 -3.052 5.291 0.018 -1.051 -1.820 11.512" Properties=species:S:1:pos:R:3 comment="PBE CeDy6Ho3Tm2, optimized geometry" e_form_ev_per_atom=0.036 dos_ef_per_ev_fu=19.00 energy_ry_per_atom=-0.342 m_tot_mub_per_atom=0.097 spacegroup="No. 12" pbc="T T T"
Ce 0.000 0.000 0.000
Dy 3.024 1.729 8.666
Dy 2.035 3.524 2.900
Dy -1.019 1.743 2.881
Dy -0.013 3.483 8.666
Dy -0.030 -0.052 8.647
Dy 2.018 -0.012 2.881
Ho -2.044 3.495 5.774
Ho 4.049 -0.024 5.774
Ho 1.003 1.736 5.774
Tm 0.002 3.527 0.018
Tm 3.054 1.764 0.018

***

8.
8
Lattice="-3.674 -2.106 2.612 3.253 -3.160 2.028 4.844 3.214 9.406" Properties=species:S:1:pos:R:3 comment="PBE CeDy2HoTm4, optimized geometry" e_form_ev_per_atom=0.045 dos_ef_per_ev_fu=12.37 energy_ry_per_atom=-0.342 m_tot_mub_per_atom=0.106 spacegroup="No. 123" pbc="T T T"
Ce 4.048 0.027 5.717
Dy 4.844 3.214 9.406
Dy 0.585 0.554 6.009
Ho 4.633 0.581 11.726
Tm 6.070 0.034 8.568
Tm -1.648 -2.087 5.477
Tm 1.815 -2.613 5.186
Tm 2.607 0.561 8.859

***

9.
12
Lattice="6.098 -0.001 0.003 -3.048 5.282 0.003 -1.022 -1.770 11.497" Properties=species:S:1:pos:R:3 comment="PBE Ce2Dy6HoTm3, optimized geometry" e_form_ev_per_atom=0.049 dos_ef_per_ev_fu=22.03 energy_ry_per_atom=-0.348 m_tot_mub_per_atom=0.155 spacegroup="No. 12" pbc="T T T"
Ce 0.002 3.520 0.003
Ce 3.048 1.761 0.003
Dy 3.049 1.740 8.622
Dy 2.028 3.512 2.884
Dy -1.021 1.771 2.880
Dy -0.016 3.510 8.622
Dy -0.001 -0.001 8.618
Dy 2.044 0.001 2.880
Ho 0.000 0.000 0.000
Tm -2.040 3.519 5.751
Tm 4.067 -0.008 5.751
Tm 1.014 1.756 5.751

***

10.
18
Lattice="-4.771 3.033 -0.124 -2.868 -9.941 -3.922 -2.058 -2.877 8.798" Properties=species:S:1:pos:R:3 comment="PBE CeDy2Ho5Tm, optimized geometry" e_form_ev_per_atom=0.170 dos_ef_per_ev_fu=15.33 energy_ry_per_atom=-0.335 m_tot_mub_per_atom=0.060 spacegroup="No. 36" pbc="T T T"
Ce -6.706 -5.192 2.035
Ce -2.039 -3.262 -1.352
Dy -8.134 -7.354 4.088
Dy -2.851 -4.272 5.165
Dy -1.857 -2.842 1.922
Dy -6.670 -5.268 -1.164
Ho -4.239 -6.779 -2.747
Ho -6.542 -4.797 5.397
Ho -6.488 -10.089 2.816
Ho -4.684 -7.209 3.833
Ho -8.544 -8.143 0.564
Ho -4.615 -1.827 3.894
Ho -3.489 -5.456 0.785
Ho -3.196 0.322 1.881
Ho -4.860 -2.362 0.267
Ho -0.170 -0.268 -0.012
Tm -5.317 -2.791 7.336
Tm -5.116 -8.023 0.562

***

11.
12
Lattice="6.106 0.000 0.018 -3.051 5.289 0.018 -1.052 -1.821 11.496" Properties=species:S:1:pos:R:3 comment="PBE CeDy6Ho2Tm3, optimized geometry" e_form_ev_per_atom=0.038 dos_ef_per_ev_fu=19.29 energy_ry_per_atom=-0.341 m_tot_mub_per_atom=0.097 spacegroup="No. 12" pbc="T T T"
Ce 0.000 0.000 0.000
Dy 3.022 1.728 8.636
Dy 2.034 3.521 2.917
Dy -1.019 1.740 2.896
Dy -0.014 3.481 8.636
Dy -0.031 -0.053 8.615
Dy 2.017 -0.013 2.896
Ho 0.002 3.526 0.018
Ho 3.053 1.764 0.018
Tm -2.045 3.493 5.766
Tm 4.048 -0.025 5.766
Tm 1.002 1.734 5.766

***

12.
18
Lattice="5.657 0.000 0.000 -2.828 10.681 0.000 0.000 0.000 9.510" Properties=species:S:1:pos:R:3 comment="PBE CeDy5HoTm2, optimized geometry" e_form_ev_per_atom=0.173 dos_ef_per_ev_fu=15.20 energy_ry_per_atom=-0.334 m_tot_mub_per_atom=0.068 spacegroup="No. 36" pbc="T T T"
Ce 2.828 6.605 4.955
Ce 0.000 4.076 0.200
Dy 0.000 8.416 0.418
Dy 2.828 4.969 7.895
Dy 0.000 10.056 7.106
Dy 0.000 6.522 6.774
Dy 2.828 10.385 4.868
Dy 2.828 2.265 5.173
Dy 0.000 5.712 3.140
Dy 2.828 0.625 2.351
Dy 2.828 4.159 2.018
Dy 0.000 0.296 0.113
Ho 2.828 2.074 8.815
Ho 0.000 8.607 4.060
Tm 2.828 8.253 7.822
Tm 0.000 2.825 6.735
Tm 0.000 2.428 3.067
Tm 2.828 7.856 1.980